# 1
! BeMoIr3 | Alexandria via LeMat-Bulk | PBE-GGA | relaxed; values from VASP
! SG	Pm-3m, No. 221
! ΔH_f (0 K)	1.904	eV per atom
&SYSTEM
  ibrav = 0, nat = 5, ntyp = 3
/
ATOMIC_SPECIES
Be 9.01 Be.upf
Mo 95.94 Mo.upf
Ir 192.22 Ir.upf
CELL_PARAMETERS angstrom
4.7018 0.0000 0.0000
0.0000 4.7018 0.0000
0.0000 0.0000 4.7018
ATOMIC_POSITIONS crystal
Be 0.0000 0.0000 0.0000
Mo 0.5000 0.5000 0.5000
Ir 0.0000 0.5000 0.5000
Ir 0.5000 0.0000 0.5000
Ir 0.5000 0.5000 0.0000

=====

# 2
! Sm6Al2Pb | Alexandria via LeMat-Bulk | PBE-GGA | relaxed; values from VASP
! SG	Immm, No. 71
! ΔH_f (0 K)	-0.296	eV per atom
&SYSTEM
  ibrav = 0, nat = 18, ntyp = 3
/
ATOMIC_SPECIES
Sm 150.36 Sm.upf
Al 26.98 Al.upf
Pb 207.20 Pb.upf
CELL_PARAMETERS angstrom
-4.9200 4.9847 5.5309
4.9200 -4.9847 5.5309
4.9200 4.9847 -5.5309
ATOMIC_POSITIONS crystal
Sm 0.0276 0.8206 0.2070
Sm 0.2382 0.5338 0.2956
Sm 0.2382 0.9426 0.7044
Sm 0.2808 0.3105 0.5913
Sm 0.2808 0.6895 0.9703
Sm 0.3864 0.1794 0.2070
Sm 0.6136 0.8206 0.7930
Sm 0.7192 0.3105 0.0297
Sm 0.7192 0.6895 0.4087
Sm 0.7618 0.0574 0.2956
Sm 0.7618 0.4662 0.7044
Sm 0.9724 0.1794 0.7930
Al 0.0000 0.1387 0.1387
Al 0.0000 0.8613 0.8613
Al 0.3813 0.3813 0.0000
Al 0.6187 0.6187 0.0000
Pb 0.0000 0.5000 0.5000
Pb 0.5000 0.0000 0.5000

=====

Repeat the first record exactly.
! BeMoIr3 | Alexandria via LeMat-Bulk | PBE-GGA | relaxed; values from VASP
! SG	Pm-3m, No. 221
! ΔH_f (0 K)	1.904	eV per atom
&SYSTEM
  ibrav = 0, nat = 5, ntyp = 3
/
ATOMIC_SPECIES
Be 9.01 Be.upf
Mo 95.94 Mo.upf
Ir 192.22 Ir.upf
CELL_PARAMETERS angstrom
4.7018 0.0000 0.0000
0.0000 4.7018 0.0000
0.0000 0.0000 4.7018
ATOMIC_POSITIONS crystal
Be 0.0000 0.0000 0.0000
Mo 0.5000 0.5000 0.5000
Ir 0.0000 0.5000 0.5000
Ir 0.5000 0.0000 0.5000
Ir 0.5000 0.5000 0.0000